(1)
Density functional theory data (PBE) for LaPbI2O after structural relaxation.

CIF file:
```
data_LaPbI2O
_symmetry_space_group_name_H-M 'P 4/m m m'
_symmetry_Int_Tables_number 123
_symmetry_space_group_name_Hall '-P 4 2'
_cell_length_a 6.682
_cell_length_b 6.682
_cell_length_c 4.337
_cell_angle_alpha 90.00
_cell_angle_beta 90.00
_cell_angle_gamma 90.00
loop_
_atom_site_label
_atom_site_fract_x
_atom_site_fract_y
_atom_site_fract_z
La1 0.000 0.000 0.000
Pb1 0.500 0.500 0.500
I1 0.000 0.500 0.000
O1 0.000 0.000 0.500
```

Output
The value obtained for the uncorrected formation energy is -1.3194 eV per atom. The energy relative to the lowest polymorph listed for this composition is 0.000 eV per atom.

=====

(2)
Density functional theory data (PBE) for La2Nd5Cd4 after structural relaxation.

CIF file:
```
data_La2Nd5Cd4
_symmetry_space_group_name_H-M 'C 1 2/m 1'
_symmetry_Int_Tables_number 12
_symmetry_space_group_name_Hall '-C 2y'
_cell_length_a 17.238
_cell_length_b 3.471
_cell_length_c 14.168
_cell_angle_alpha 90.00
_cell_angle_beta 123.86
_cell_angle_gamma 90.00
loop_
_atom_site_label
_atom_site_fract_x
_atom_site_fract_y
_atom_site_fract_z
La1 0.220 0.000 0.176
Nd1 0.000 0.500 0.000
Nd2 0.112 0.000 0.319
Nd3 0.137 0.000 0.899
Cd1 0.042 0.500 0.649
Cd2 0.158 0.500 0.546
```

=====

(3)
Density functional theory data (PBE) for AcPm3Nd2 after structural relaxation.

CIF file:
```
data_AcPm3Nd2
_symmetry_space_group_name_H-M 'P -3 m 1'
_symmetry_Int_Tables_number 164
_symmetry_space_group_name_Hall '-P 3 2"'
_cell_length_a 7.1065
_cell_length_b 7.1065
_cell_length_c 10.0931
_cell_angle_alpha 90.00
_cell_angle_beta 90.00
_cell_angle_gamma 120.00
loop_
_atom_site_label
_atom_site_fract_x
_atom_site_fract_y
_atom_site_fract_z
Ac1 0.3333 0.6667 0.4318
Pm1 0.1822 0.3645 0.7638
Nd1 0.0000 0.0000 0.0000
Nd2 0.0000 0.0000 0.5000
Nd3 0.3333 0.6667 0.0775
```

Output
The energy relative to the lowest polymorph listed for this composition is 0.000 eV per atom.

=====

(4)
Density functional theory data (PBE) for NdHfCd after structural relaxation.

CIF file:
```
data_NdHfCd
_symmetry_space_group_name_H-M 'I 4 m m'
_symmetry_Int_Tables_number 107
_symmetry_space_group_name_Hall 'I 4 -2'
_cell_length_a 3.412
_cell_length_b 3.412
_cell_length_c 13.332
_cell_angle_alpha 90.00
_cell_angle_beta 90.00
_cell_angle_gamma 90.00
loop_
_atom_site_label
_atom_site_fract_x
_atom_site_fract_y
_atom_site_fract_z
Nd1 0.000 0.000 0.000
Hf1 0.000 0.000 0.675
Cd1 0.000 0.000 0.317
```

Output
The energy relative to the lowest polymorph listed for this composition is 0.000 eV per atom.

=====

(5)
Density functional theory data (PBE) for Pr4ZnHg5 after structural relaxation.

CIF file:
```
data_Pr4ZnHg5
_symmetry_space_group_name_H-M 'C 1 2/m 1'
_symmetry_Int_Tables_number 12
_symmetry_space_group_name_Hall '-C 2y'
_cell_length_a 16.318
_cell_length_b 5.291
_cell_length_c 6.548
_cell_angle_alpha 90.00
_cell_angle_beta 104.04
_cell_angle_gamma 90.00
loop_
_atom_site_label
_atom_site_fract_x
_atom_site_fract_y
_atom_site_fract_z
Pr1 0.092 0.000 0.327
Pr2 0.187 0.500 0.818
Zn1 0.000 0.500 0.500
Hg1 0.000 0.500 0.000
Hg2 0.100 0.000 0.845
Hg3 0.215 0.500 0.340
```

=====

(6)
Density functional theory data (PBE) for TiNbAsBr2 after structural relaxation.

CIF file:
```
data_TiNbAsBr2
_symmetry_space_group_name_H-M 'P 4/m m m'
_symmetry_Int_Tables_number 123
_symmetry_space_group_name_Hall '-P 4 2'
_cell_length_a 4.933
_cell_length_b 4.933
_cell_length_c 5.159
_cell_angle_alpha 90.00
_cell_angle_beta 90.00
_cell_angle_gamma 90.00
loop_
_atom_site_label
_atom_site_fract_x
_atom_site_fract_y
_atom_site_fract_z
Ti1 0.000 0.000 0.000
Nb1 0.500 0.500 0.500
As1 0.000 0.000 0.500
Br1 0.000 0.500 0.000
```

Output
The value obtained for the uncorrected formation energy is 0.3833 eV per atom. The energy relative to the lowest polymorph listed for this composition is 0.005 eV per atom.

=====

| no. | M_tot (μB/f.u.) | final energy (eV for the cell shown) | N(E_F) (states/eV/f.u.) |
| --- | --- | --- | --- |
| 1 | 0.68 | -23.3 | 2.2 |
| 2 | 0.00 | -74.4 | 13.7 |
| 3 | 0.00 | -53.2 | 10.2 |
| 4 | 0.00 | -31.4 | 1.5 |
| 5 | 0.00 | -52.1 | 9.6 |
| 6 | 3.83 | -24.0 | 7.4 |